Computed, not measured: a geometry-optimized Ho2Co2Os structure at the GGA-PBE level of DFT.

Results
DFT formation energy: -112.1 kJ/mol of formula units
final energy: -7.1518 eV/atom
ρ: 11.7 Mg/m³
DOS(E_F): 7.01 states/eV/f.u.

Cell lengths 5.194, 5.194, 7.774 Å; angles 100.97, 100.97, 62.12 degrees
Sites, in units of the cell vectors:
Ho  0.031  0.272  0.154
Ho  0.272  0.031  0.654
Ho  0.728  0.969  0.346
Ho  0.969  0.728  0.846
Co  0.258  0.498  0.498
Co  0.498  0.258  0.998
Co  0.502  0.742  0.002
Co  0.742  0.502  0.502
Os  0.375  0.625  0.250
Os  0.625  0.375  0.750